1.
DFT (PBE-GGA) results for a relaxed structure of DyNb2Pt9.

```
12
Lattice="4.036 0.000 0.000 0.000 4.036 0.000 0.000 0.000 12.178" Properties=species:S:1:pos:R:3 pbc="T T T"
Dy 0.000 0.000 0.000
Nb 0.000 0.000 4.053
Nb 0.000 0.000 8.125
Pt 2.018 2.018 0.000
Pt 2.018 2.018 4.131
Pt 2.018 2.018 8.048
Pt 2.018 0.000 2.165
Pt 2.018 0.000 6.089
Pt 2.018 0.000 10.014
Pt 0.000 2.018 2.165
Pt 0.000 2.018 6.089
Pt 0.000 2.018 10.014
```

## Properties
SG = P4/mmm (123)
Crystal system = tetragonal
E_form = -0.74 eV per atom

---

2.
DFT (PBE-GGA) results for a relaxed structure of Dy2NbSi4Pt3.

```
10
Lattice="-1.434 2.885 -2.645 -0.087 -2.840 -3.050 -9.668 -2.457 2.564" Properties=species:S:1:pos:R:3 pbc="T T T"
Dy -3.029 0.855 -0.710
Dy -7.399 -3.289 0.425
Nb -5.595 -1.206 -1.566
Si -0.761 0.022 -2.848
Si 0.000 0.000 0.000
Si -6.956 -0.143 0.331
Si -3.473 -2.292 -0.616
Pt -4.834 -1.228 1.282
Pt -9.215 -0.717 0.931
Pt -1.214 -1.717 -1.215
```

## Properties
ΔE_f (raw) = -0.9708 eV/atom
SG = P-4m2 (115)
Crystal system = tetragonal

---

3.
DFT (PBE-GGA) results for a relaxed structure of DyPuNb.

```
12
Lattice="-1.686 3.430 -3.323 -5.127 2.936 1.772 4.429 8.381 2.544" Properties=species:S:1:pos:R:3 pbc="T T T"
Dy -3.658 5.544 -0.141
Dy -1.152 3.355 0.188
Dy -1.232 11.393 0.806
Dy 1.274 9.204 1.134
Nb -0.212 5.294 -2.147
Nb -2.670 3.711 -2.534
Nb -4.142 2.656 0.983
Nb 2.955 6.517 1.368
Pu 0.548 5.440 1.478
Pu -2.041 7.653 1.216
Pu -0.343 7.095 -0.222
Pu -2.932 9.307 -0.484
```

## Properties
SG = Fmmm (69)
Crystal system = orthorhombic
E_form = 0.48 eV per atom

---

4.
DFT (PBE-GGA) results for a relaxed structure of Rb3Dy3NbSe8.

```
15
Lattice="-1.644 -8.017 -0.472 4.869 3.526 -5.575 3.827 -1.293 8.554" Properties=species:S:1:pos:R:3 pbc="T T T"
Rb 0.000 0.000 0.000
Rb 2.434 1.763 -2.788
Rb 1.612 -2.245 -3.024
Dy 1.091 -4.655 4.041
Dy 3.526 -2.892 1.254
Dy 4.348 1.117 1.489
Nb 1.914 -0.646 4.277
Se 3.326 -0.648 -0.515
Se 3.726 -5.136 3.022
Se 2.652 -4.682 -0.824
Se 4.400 -1.102 3.331
Se 0.067 -6.554 2.138
Se 6.985 0.770 0.369
Se 0.941 -2.302 2.386
Se 6.111 -3.481 0.121
```

## Properties
ΔE_f (raw) = -1.5036 eV/atom
SG = C2/m (12)
Crystal system = monoclinic

---

5.
DFT (PBE-GGA) results for a relaxed structure of DyNbRe.

```
6
Lattice="-2.667 -3.518 2.813 -0.331 -0.847 -5.155 5.602 -0.752 1.390" Properties=species:S:1:pos:R:3 pbc="T T T"
Dy -1.913 -2.657 0.242
Dy -1.084 -1.709 -2.585
Nb 1.146 -4.074 -1.030
Nb 1.459 -1.043 0.078
Re 0.718 -3.227 1.516
Re 1.886 -1.891 -2.468
```

## Properties
SG = Fmmm (69)
Crystal system = orthorhombic
E_form = 0.11 eV per atom

---

6.
DFT (PBE-GGA) results for a relaxed structure of Dy2NbRe3.

```
6
Lattice="4.815 -0.138 -2.522 -3.061 4.488 -0.240 -0.166 0.178 5.537" Properties=species:S:1:pos:R:3 pbc="T T T"
Dy 2.459 1.614 -1.259
Dy -0.871 2.913 4.034
Nb 0.000 0.000 0.000
Re 0.794 2.263 1.387
Re -0.083 0.089 2.768
Re 2.324 0.020 1.507
```

## Properties
SG = R-3m (166)
Crystal system = trigonal
E_form = -0.16 eV per atom

---

7.
DFT (PBE-GGA) results for a relaxed structure of DyNbRh.

```
3
Lattice="-3.653 -1.677 0.192 1.010 -2.436 -2.056 1.475 -2.756 3.989" Properties=species:S:1:pos:R:3 pbc="T T T"
Rh 1.242 -2.596 0.966
Nb -1.089 -2.216 2.091
Dy 0.000 0.000 0.000
```

## Properties
SG = Pmmm (47)
Crystal system = orthorhombic
E_form = -0.05 eV per atom

---

8.
DFT (PBE-GGA) results for a relaxed structure of DyNbRh2.

```
4
Lattice="-0.256 -4.448 0.142 3.723 -2.440 0.233 0.979 -2.144 4.550" Properties=species:S:1:pos:R:3 pbc="T T T"
Nb 0.000 0.000 0.000
Rh 3.321 -6.763 4.042
Rh 1.126 -2.270 0.882
Dy 2.223 -4.516 2.462
```

## Properties
Relative energy among the computed polymorphs = 0.080 eV/atom
SG = R-3m (166)
Crystal system = trigonal
E_form = -0.46 eV per atom

---

9.
DFT (PBE-GGA) results for a relaxed structure of DyNbRh2.

```
4
Lattice="-0.085 2.976 1.173 -2.350 0.739 -2.044 -4.853 -2.046 4.840" Properties=species:S:1:pos:R:3 pbc="T T T"
Nb -1.217 1.858 -0.435
Rh -3.814 -1.608 3.804
Rh -1.038 -0.438 1.036
Dy -3.643 0.835 1.985
```

## Properties
Relative energy among the computed polymorphs = 0.000 eV/atom
SG = P4/mmm (123)
Crystal system = tetragonal
E_form = -0.54 eV per atom

---

10.
DFT (PBE-GGA) results for a relaxed structure of DyNbRuRh.

```
4
Lattice="-0.725 -4.582 -0.357 3.038 -2.664 -2.308 2.721 -2.974 2.324" Properties=species:S:1:pos:R:3 pbc="T T T"
Ru 3.775 -7.665 -0.256
Nb 2.517 -5.110 -0.171
Rh 1.258 -2.555 -0.085
Dy 0.000 0.000 0.000
```

## Properties
SG = F-43m (216)
Crystal system = cubic
E_form = -0.37 eV per atom

---

11.
DFT (PBE-GGA) results for a relaxed structure of Dy2NbRu2.

```
5
Lattice="3.670 0.004 1.561 1.150 5.125 2.378 -0.272 0.565 5.732" Properties=species:S:1:pos:R:3 pbc="T T T"
Dy 1.129 1.446 4.984
Dy 3.420 4.248 4.687
Nb 2.410 2.565 1.969
Ru 0.187 1.317 2.105
Ru 4.362 4.378 7.566
```

## Properties
SG = Immm (71)
Crystal system = orthorhombic
E_form = -0.32 eV per atom

---

12.
DFT (PBE-GGA) results for a relaxed structure of Dy2NbRu.

```
4
Lattice="-1.231 -0.089 2.962 -0.851 -2.808 1.300 8.682 -2.017 5.287" Properties=species:S:1:pos:R:3 pbc="T T T"
Ru 3.300 -2.457 4.774
Nb 0.000 0.000 0.000
Dy 5.935 -1.709 4.155
Dy 0.664 -3.205 5.394
```

## Properties
SG = R-3m (166)
Crystal system = trigonal
E_form = 0.46 eV per atom

---

13.
DFT (PBE-GGA) results for a relaxed structure of DyNbRu.

```
18
Lattice="6.744 0.000 0.000 3.372 7.483 -0.450 3.372 2.068 7.206" Properties=species:S:1:pos:R:3 pbc="T T T"
Dy 6.518 8.115 2.907
Dy 6.518 1.437 3.850
Dy 6.517 4.109 0.073
Dy 6.517 5.443 6.683
Dy 9.019 3.422 5.292
Dy 9.019 6.129 1.465
Nb 6.835 4.776 3.378
Nb 3.345 0.000 0.000
Nb 7.678 8.424 5.959
Nb 0.934 1.127 0.797
Nb 10.983 6.014 4.254
Nb 4.239 3.538 2.502
Ru 5.100 6.008 1.637
Ru 5.100 3.543 5.119
Ru 8.466 6.400 4.528
Ru 8.466 3.151 2.229
Ru 11.857 7.993 5.654
Ru 5.113 1.559 1.103
```

## Properties
Relative energy among the computed polymorphs = 0.000 eV/atom
SG = Imm2 (44)
Crystal system = orthorhombic
E_form = -0.22 eV per atom

---

14.
DFT (PBE-GGA) results for a relaxed structure of DyNbRu2.

```
4
Lattice="3.242 0.000 0.000 0.000 3.242 0.000 0.000 0.000 6.778" Properties=species:S:1:pos:R:3 pbc="T T T"
Ru 0.000 0.000 5.272
Ru 0.000 0.000 1.506
Nb 1.621 1.621 0.000
Dy 1.621 1.621 3.389
```

## Properties
SG = P4/mmm (123)
Crystal system = tetragonal
E_form = -0.35 eV per atom

---

15.
DFT (PBE-GGA) results for a relaxed structure of DyNbRu2.

```
4
Lattice="4.629 -0.036 -0.027 2.347 3.990 -0.025 2.348 1.330 3.764" Properties=species:S:1:pos:R:3 pbc="T T T"
Ru 2.349 1.330 3.764
Ru 4.661 2.642 1.857
Nb 6.993 3.963 2.784
Dy 2.331 1.321 0.928
```

## Properties
SG = Fm-3m (225)
Crystal system = cubic
E_form = -0.30 eV per atom

---

16.
DFT (PBE-GGA) results for a relaxed structure of DyNbRu2.

```
4
Lattice="3.253 0.000 0.000 0.000 4.655 0.000 0.000 0.000 4.655" Properties=species:S:1:pos:R:3 pbc="T T T"
Ru 0.000 0.000 2.327
Ru 0.000 2.327 0.000
Nb 1.627 0.000 0.000
Dy 1.627 2.327 2.327
```

## Properties
SG = P4/mmm (123)
Crystal system = tetragonal
E_form = -0.26 eV per atom

---

17.
DFT (PBE-GGA) results for a relaxed structure of DyNb2Ru2.

```
5
Lattice="-0.591 -2.739 -1.496 3.097 -0.413 -0.468 2.161 -4.734 7.813" Properties=species:S:1:pos:R:3 pbc="T T T"
Dy 0.000 0.000 0.000
Nb 1.933 -3.048 4.817
Nb 3.326 -2.099 2.528
Ru 1.383 -2.532 0.718
Ru 3.285 -5.353 5.131
```

## Properties
SG = Cmmm (65)
Crystal system = orthorhombic
E_form = -0.04 eV per atom

---

18.
DFT (PBE-GGA) results for a relaxed structure of DyNbRu.

```
3
Lattice="3.278 0.000 0.000 0.000 3.278 0.000 -1.639 -1.639 5.477" Properties=species:S:1:pos:R:3 pbc="T T T"
Ru 1.639 1.639 2.014
Nb 0.000 0.000 3.398
Dy 0.000 0.000 0.065
```

## Properties
Relative energy among the computed polymorphs = 0.084 eV/atom
SG = I4mm (107)
Crystal system = tetragonal
E_form = -0.13 eV per atom

---

19.
DFT (PBE-GGA) results for a relaxed structure of DyNb5Ru6.

```
12
Lattice="-0.136 2.699 -3.509 -6.579 -1.540 -0.930 -1.677 3.714 5.712" Properties=species:S:1:pos:R:3 pbc="T T T"
Ru -5.987 3.571 0.180
Ru -3.029 4.264 0.598
Ru -1.841 0.934 -2.005
Ru -4.874 0.224 -2.434
Ru -5.364 0.609 0.675
Ru -2.405 1.302 1.093
Nb -3.936 2.258 -0.908
Nb -1.117 3.244 2.529
Nb -3.290 -0.770 -0.465
Nb -7.275 1.629 -1.256
Nb -4.456 2.615 2.181
Dy 0.000 0.000 0.000
```

## Properties
SG = Cmmm (65)
Crystal system = orthorhombic
E_form = -0.23 eV per atom

---

20.
DFT (PBE-GGA) results for a relaxed structure of DyNb3Ru4.

```
16
Lattice="-1.347 1.596 4.100 -4.419 -4.568 0.326 6.050 -5.556 4.149" Properties=species:S:1:pos:R:3 pbc="T T T"
Ru -4.038 -2.680 2.299
Ru -1.013 -5.458 4.373
Ru -1.728 -0.292 2.128
Ru 1.297 -3.070 4.203
Ru -0.174 -6.049 7.461
Ru -1.852 -4.867 1.286
Ru 0.458 -2.479 1.115
Ru 2.136 -3.661 7.290
Nb 0.000 0.000 0.000
Nb 3.025 -2.778 2.075
Nb 3.864 -3.369 5.162
Nb 0.839 -0.591 3.088
Nb 1.654 -5.653 5.325
Nb -1.370 -2.875 3.251
Dy -2.209 -2.284 0.163
Dy 0.815 -5.062 2.238
```

## Properties
SG = P4/mmm (123)
Crystal system = tetragonal
E_form = -0.23 eV per atom